Record 1
DFT (PBE) results for a relaxed Np2OsRh crystal.

## Properties
**Space group**: P4/mmm
**Energy relative to the lowest polymorph listed for this composition**: 0.0 meV per atom
**Total DFT energy (no corrections)**: -11.14 eV per atom
**Formation energy from the elements**: -10 kJ/mol of formula units
**Crystal system**: tetragonal

Lattice parameters (Å, degrees): 3.2228 4.9122 4.9122 90.00 90.00 90.00
Each line ends with the local moment (μB).
Sites, in units of the cell vectors:
Np1 0.0000 0.0000 0.5000  3.55
Np2 0.0000 0.5000 0.0000  3.55
Os1 0.5000 0.5000 0.5000  -0.51
Rh1 0.5000 0.0000 0.0000  -0.31

=====

Record 2
DFT (PBE) results for a relaxed NpScOsRh crystal.

## Properties
**Space group**: F-43m
**Total DFT energy (no corrections)**: -9.83 eV per atom
**Formation energy from the elements**: -140 kJ/mol of formula units
**Crystal system**: cubic

Lattice parameters (Å, degrees): 4.6859 4.6859 4.6859 60.00 60.00 60.00
Each line ends with the local moment (μB).
Sites, in units of the cell vectors:
Rh1 0.2500 0.2500 0.2500  -0.26
Os1 0.7500 0.7500 0.7500  -0.31
Np1 0.5000 0.5000 0.5000  3.32
Sc1 0.0000 0.0000 0.0000  0.09

=====

Record 3
DFT (PBE) results for a relaxed NpSi2OsRh crystal.

## Properties
**Space group**: I-4m2
**Total DFT energy (no corrections)**: -9.08 eV per atom
**E_form (uncorrected)**: -604 meV per atom
**Crystal system**: tetragonal

Lattice parameters (Å, degrees): 4.1049 4.1049 5.7342 110.97 110.97 90.00
Each line ends with the local moment (μB).
Sites, in units of the cell vectors:
Si1 0.6234 0.6234 0.2468  -0.01
Si2 0.3766 0.3766 0.7532  -0.01
Np1 0.0000 0.0000 0.0000  3.62
Os1 0.2500 0.7500 0.5000  -0.13
Rh1 0.7500 0.2500 0.5000  -0.02

=====

Record 4
DFT (PBE) results for a relaxed SmNpOsRh crystal.

## Properties
**Space group**: F-43m
**Total DFT energy (no corrections)**: -9.20 eV per atom
**Formation energy from the elements**: -52 kJ/mol of formula units
**Crystal system**: cubic

Lattice parameters (Å, degrees): 4.8624 4.8624 4.8624 60.00 60.00 60.00
Each line ends with the local moment (μB).
Sites, in units of the cell vectors:
Rh1 0.0000 0.0000 0.0000  -0.32
Sm1 0.2500 0.2500 0.2500  0.06
Os1 0.5000 0.5000 0.5000  -0.42
Np1 0.7500 0.7500 0.7500  3.43

=====

Mass density (computed, g cm⁻³): 16.4; 13.1; 11.7; 13.9